# Sr3LiGa8

Crystalline Sr3LiGa8 at its relaxed geometry (GGA-PBE, the Alexandria database).

```
Sr3LiGa8
1.0
-5.5684 1.1473 0.4935
-3.5259 -1.0428 -4.3644
-4.5513 -8.7751 2.0426
Ga Sr Li
8 3 1
Direct
0.4353 0.4353 0.1927
0.4353 0.9368 0.1927
0.1879 0.1879 0.4362
0.9368 0.4353 0.1927
0.4404 0.9387 0.6822
0.9387 0.4404 0.6822
0.9387 0.9387 0.6822
0.6875 0.6875 0.9374
0.3754 0.3754 0.8739
0.5034 0.5034 0.4899
0.9955 0.9955 0.0134
0.8751 0.8751 0.3747
```

V = 22.42 Å³/atom
size of the total moment = 0.00 μB/f.u.
density = 5.11 g/cm3
crystal system = trigonal
total DFT energy (no corrections) = -2.951 eV per atom
symmetry = R3m, No. 160


# SrLiGa3

Crystalline SrLiGa3 at its relaxed geometry (GGA-PBE, the Alexandria database).

```
SrLiGa3
1.0
-5.8433 -0.2406 0.1749
0.0035 -3.4960 -4.6915
0.2974 -4.6854 3.4916
Ga Li Sr
3 1 1
Direct
0.0000 0.5000 0.0000
0.0000 0.0000 0.5000
0.5000 0.0000 0.0000
0.5000 0.5000 0.5000
0.0000 0.0000 0.0000
```

V = 40.06 Å³/atom
size of the total moment = 0.00 μB/f.u.
density = 2.52 g/cm3
crystal system = cubic
total DFT energy (no corrections) = -1.797 eV per atom
symmetry = Pm-3m, No. 221
excess energy over the best structure of this formula in the dataset = 1.0988 eV per atom


# SrLiTiGa2

Crystalline SrLiTiGa2 at its relaxed geometry (GGA-PBE, the Alexandria database).

```
SrLiTiGa2
1.0
-5.6431 0.3883 0.5275
-0.5586 -4.2710 -2.8322
0.2237 -3.1575 4.7174
Ga Li Sr Ti
2 1 1 1
Direct
0.0000 0.0000 0.5000
0.5000 0.0000 0.0000
0.5000 0.5000 0.5000
0.0000 0.0000 0.0000
0.0000 0.5000 0.0000
```

V = 33.27 Å³/atom
size of the total moment = 0.00 μB/f.u.
density = 2.81 g/cm3
crystal system = tetragonal
total DFT energy (no corrections) = -2.253 eV per atom
symmetry = P4/mmm, No. 123


# SrLiTlGa

Crystalline SrLiTlGa at its relaxed geometry (GGA-PBE, the Alexandria database).

```
SrLiTlGa
1.0
5.2775 0.0000 0.0000
2.6387 4.5704 0.0000
2.6387 1.5235 4.3091
Tl Sr Li Ga
1 1 1 1
Direct
0.7500 0.7500 0.7500
0.0000 0.0000 0.0000
0.5000 0.5000 0.5000
0.2500 0.2500 0.2500
```

V = 25.98 Å³/atom
size of the total moment = 0.00 μB/f.u.
density = 5.89 g/cm3
crystal system = cubic
total DFT energy (no corrections) = -2.486 eV per atom
symmetry = F-43m, No. 216


# SrLiTmGa

Crystalline SrLiTmGa at its relaxed geometry (GGA-PBE, the Alexandria database).

```
SrLiTmGa
1.0
5.3120 0.0000 0.0000
2.6560 4.6003 0.0000
2.6560 1.5334 4.3372
Tm Sr Ga Li
1 1 1 1
Direct
0.0000 0.0000 0.0000
0.5000 0.5000 0.5000
0.2500 0.2500 0.2500
0.7500 0.7500 0.7500
```

V = 26.50 Å³/atom
size of the total moment = 0.00 μB/f.u.
density = 5.22 g/cm3
crystal system = cubic
total DFT energy (no corrections) = -2.928 eV per atom
symmetry = F-43m, No. 216


# Sr2LiZn3Ga4

Crystalline Sr2LiZn3Ga4 at its relaxed geometry (GGA-PBE, the Alexandria database).

```
Sr2LiZn3Ga4
1.0
4.4294 0.0000 0.0000
0.0000 4.4294 0.0000
0.0000 0.0000 10.8321
Ga Sr Zn Li
4 2 3 1
Direct
0.0000 0.0000 0.0000
0.5000 0.5000 0.0000
0.5000 0.0000 0.6278
0.0000 0.5000 0.3722
0.0000 0.5000 0.7516
0.5000 0.0000 0.2484
0.0000 0.0000 0.5000
0.5000 0.0000 0.8662
0.0000 0.5000 0.1338
0.5000 0.5000 0.5000
```

V = 21.25 Å³/atom
size of the total moment = 0.00 μB/f.u.
density = 5.14 g/cm3
crystal system = tetragonal
total DFT energy (no corrections) = -2.448 eV per atom
symmetry = P-4m2, No. 115


# SrLiZn4Ga2

Crystalline SrLiZn4Ga2 at its relaxed geometry (GGA-PBE, the Alexandria database).

```
SrLiZn4Ga2
1.0
-0.0664 2.6083 3.5268
2.9454 -0.5649 3.2018
6.5842 6.4452 -1.9143
Ga Zn Sr Li
2 4 1 1
Direct
0.7617 0.7617 0.7150
0.2383 0.2383 0.2850
0.8652 0.8652 0.4045
0.5943 0.5943 0.2170
0.4057 0.4057 0.7830
0.1348 0.1348 0.5955
0.0000 0.0000 0.0000
0.5000 0.5000 0.5000
```

V = 18.88 Å³/atom
size of the total moment = 0.00 μB/f.u.
density = 5.45 g/cm3
crystal system = trigonal
total DFT energy (no corrections) = -2.048 eV per atom
symmetry = R-3m, No. 166


# SrLi2ZnGa

Crystalline SrLi2ZnGa at its relaxed geometry (GGA-PBE, the Alexandria database).

```
SrLi2ZnGa
1.0
4.9808 0.0000 0.0000
0.0000 4.8460 0.0000
0.0000 0.0000 4.9808
Ga Li Zn Sr
1 2 1 1
Direct
0.0000 0.0000 0.0000
0.0000 0.0000 0.5000
0.5000 0.0000 0.0000
0.0000 0.5000 0.0000
0.5000 0.5000 0.5000
```

V = 24.04 Å³/atom
size of the total moment = 0.00 μB/f.u.
density = 3.27 g/cm3
crystal system = tetragonal
total DFT energy (no corrections) = -2.077 eV per atom
symmetry = P4/mmm, No. 123
excess energy over the best structure of this formula in the dataset = 0.0000 eV per atom


# SrLi2ZnGa

Crystalline SrLi2ZnGa at its relaxed geometry (GGA-PBE, the Alexandria database).

```
SrLi2ZnGa
1.0
-4.2765 1.8855 -1.7578
-2.4957 -3.8808 1.9091
-0.6173 2.4047 4.0812
Li Sr Ga Zn
2 1 1 1
Direct
0.0000 0.5000 0.0000
0.5000 0.0000 0.0000
0.5000 0.5000 0.5000
0.0000 0.0000 0.5000
0.0000 0.0000 0.0000
```

V = 23.82 Å³/atom
size of the total moment = 0.00 μB/f.u.
density = 3.30 g/cm3
crystal system = tetragonal
total DFT energy (no corrections) = -2.062 eV per atom
symmetry = P4/mmm, No. 123
excess energy over the best structure of this formula in the dataset = 0.0147 eV per atom


# Sr2LiZn4Ga3

Crystalline Sr2LiZn4Ga3 at its relaxed geometry (GGA-PBE, the Alexandria database).

```
Sr2LiZn4Ga3
1.0
-3.4735 2.5587 -1.2909
-0.0914 -2.1262 -3.9685
-6.5884 -6.9804 3.8916
Zn Sr Ga Li
4 2 3 1
Direct
0.5000 0.5000 0.0000
0.5000 0.0000 0.6224
0.0000 0.5000 0.3776
0.0000 0.0000 0.0000
0.5000 0.0000 0.2456
0.0000 0.5000 0.7544
0.0000 0.0000 0.5000
0.0000 0.5000 0.1328
0.5000 0.0000 0.8672
0.5000 0.5000 0.5000
```

V = 21.00 Å³/atom
size of the total moment = 0.00 μB/f.u.
density = 5.16 g/cm3
crystal system = tetragonal
total DFT energy (no corrections) = -2.261 eV per atom
symmetry = P-4m2, No. 115


# SrLi6ZnGa

Crystalline SrLi6ZnGa at its relaxed geometry (GGA-PBE, the Alexandria database).

```
SrLi6ZnGa
1.0
-7.9931 5.9517 4.2618
-3.3868 -1.5448 -4.1947
3.5350 -7.8260 3.7769
Zn Li Ga Sr
2 12 2 2
Direct
0.0000 0.0000 0.5000
0.5000 0.0000 0.5000
0.1913 0.3984 0.8120
0.6207 0.9136 0.8120
0.3793 0.0864 0.1880
0.3151 0.0651 0.6302
0.3793 0.6016 0.1880
0.6849 0.9349 0.3698
0.8087 0.0864 0.1880
0.3451 0.5951 0.6901
0.1913 0.9136 0.8120
0.6549 0.4049 0.3099
0.8087 0.6016 0.1880
0.6207 0.3984 0.8120
0.5000 0.5000 0.0000
0.5000 0.0000 0.0000
0.1163 0.3663 0.2327
0.8837 0.6337 0.7673
```

V = 24.06 Å³/atom
size of the total moment = 0.00 μB/f.u.
density = 2.03 g/cm3
crystal system = orthorhombic
total DFT energy (no corrections) = -1.881 eV per atom
symmetry = Imma, No. 74


# LiTa2Ga

Crystalline LiTa2Ga at its relaxed geometry (GGA-PBE, the Alexandria database).

```
LiTa2Ga
1.0
7.1882 0.0000 0.0000
0.0000 7.1882 0.0000
3.5941 3.5941 2.6341
Ta Ga Li
4 2 2
Direct
0.1259 0.6250 0.2500
0.6241 0.1250 0.2500
0.3750 0.3759 0.7500
0.8750 0.8741 0.7500
0.7500 0.2500 0.5000
0.0000 0.0000 0.0000
0.5000 0.5000 0.0000
0.2500 0.7500 0.5000
```

V = 17.01 Å³/atom
size of the total moment = 0.00 μB/f.u.
density = 10.70 g/cm3
crystal system = tetragonal
total DFT energy (no corrections) = -6.618 eV per atom
symmetry = I-42d, No. 122


- Which value of density does entry 7 give?
  5.45 g/cm3